DFT (SCAN) results for CdNiH2Cl at its PBEsol-relaxed geometry.

Properties
The total energy comes out at -11.51 eV/atom. The spin magnetization comes out at 0.0000 μB/atom. The symmetry is No. 123.

Cell lengths 3.6135, 3.6135, 4.7156 Å; angles 90.00, 90.00, 90.00 degrees
Sites, in units of the cell vectors:
Cd  0.5000  0.5000  0.5000
Cl  0.0000  0.0000  0.0000
Ni  0.0000  0.0000  0.5000
H  0.5000  0.0000  0.0000
H  0.0000  0.5000  0.0000



DFT (SCAN) results for CuRuRh2 at its PBEsol-relaxed geometry.

Properties
The total energy comes out at -29.33 eV/atom. The spin magnetization comes out at 0.0024 μB/atom. Its formation energy is 5.90 kJ/mol of atoms. The symmetry is No. 47. The value obtained for the energy above the most stable polymorph in this dataset is 29.1 meV/atom.

Cell lengths 2.6779, 3.6832, 5.2651 Å; angles 90.00, 90.00, 90.00 degrees
Sites, in units of the cell vectors:
Rh  0.0000  0.0000  0.2511
Cu  0.5000  0.5000  0.5000
Rh  0.0000  0.0000  0.7489
Ru  0.5000  0.5000  0.0000



DFT (SCAN) results for IrRuRh2 at its PBEsol-relaxed geometry.

Properties
The total energy comes out at -43.39 eV/atom. The spin magnetization comes out at 0.0000 μB/atom. Its formation energy is -2.34 kJ/mol of atoms. The symmetry is No. 99. The value obtained for the energy above the most stable polymorph in this dataset is 1.9 meV/atom.

Cell lengths 2.6777, 2.6777, 7.5857 Å; angles 90.00, 90.00, 90.00 degrees
Sites, in units of the cell vectors:
Ru  0.0000  0.0000  0.5001
Ir  0.5000  0.5000  0.7464
Rh  0.0000  0.0000  0.0000
Rh  0.5000  0.5000  0.2535